## Re4BiSe7 (PBE)

Data for crystalline Re4BiSe7 at its relaxed geometry.

Unit cell a=17.8779 b=5.0917 c=5.6077 alpha=90.00 beta=90.00 gamma=90.00
Space group Pmn2_1 (No. 31)
Asymmetric unit:
Re: 0.1384 0.1774 0.0000
Re: 0.2415 0.1370 0.6230
Bi: 0.0000 0.7247 0.4397
Se: 0.0000 0.2054 0.1179
Se: 0.1023 0.1911 0.5842
Se: 0.1244 0.7026 0.0938
Se: 0.2465 0.6666 0.7006

Calculated values
Crystal system   orthorhombic
Magnetization   0.00 μB/atom
Formation energy from raw total energies   0.12 eV/atom